*a*
VASP calculation (SCAN) on a crystal of S relaxed with PBEsol.

a = 4.3903 Å, b = 4.3796 Å, c = 4.3796 Å
α = 120.00°, β = 90.00°, γ = 90.00°
Last column: nearest neighbours and their distance in Å.
Element x y z (fractional)
1 S 0.5000 0.1930 0.0000  2 S 2.07
2 S 0.8333 0.0000 0.1930  2 S 2.07
3 S 0.1667 0.8070 0.8070  2 S 2.07

Output
V = 72.9 Å³/cell



*b*
VASP calculation (SCAN) on a crystal of S relaxed with PBEsol.

a = 10.5726 Å, b = 10.7228 Å, c = 11.0725 Å
α = 96.61°, β = 90.00°, γ = 90.00°
Last column: nearest neighbours and their distance in Å.
Element x y z (fractional)
1 S 0.6951 0.7705 0.7286  2 S 2.05
2 S 0.9871 0.0382 0.9511  2 S 2.05-2.06
3 S 0.1951 0.2295 0.2714  2 S 2.05
4 S 0.9135 0.3615 0.2366  2 S 2.05
5 S 0.8482 0.5367 0.9426  2 S 2.05-2.06
6 S 0.1395 0.2617 0.7403  2 S 2.05-2.06
7 S 0.4207 0.1290 0.7824  2 S 2.05
8 S 0.8039 0.2409 0.1235  2 S 2.05
9 S 0.0178 0.2578 0.3453  2 S 2.05
10 S 0.5429 0.1603 0.3261  2 S 2.05-2.06
11 S 0.9431 0.7047 0.9441  2 S 2.05-2.06
12 S 0.3172 0.2282 0.6690  2 S 2.05
13 S 0.4871 0.9618 0.0489  2 S 2.05-2.06
14 S 0.5308 0.2540 0.8906  2 S 2.05
15 S 0.9207 0.8710 0.2176  2 S 2.05
16 S 0.6998 0.9464 0.8242  2 S 2.05
17 S 0.1734 0.0713 0.9947  2 S 2.05
18 S 0.0428 0.8397 0.6739  2 S 2.05-2.06
19 S 0.7554 0.0505 0.5123  2 S 2.06
20 S 0.6215 0.4545 0.4338  2 S 2.05
21 S 0.4135 0.6385 0.7634  2 S 2.05
22 S 0.8374 0.3459 0.6140  2 S 2.05
23 S 0.2554 0.9495 0.4877  2 S 2.06
24 S 0.6380 0.5597 0.1685  2 S 2.05-2.06
25 S 0.5688 0.0446 0.4595  2 S 2.05-2.06
26 S 0.6395 0.7383 0.2597  2 S 2.05-2.06
27 S 0.3931 0.7929 0.0415  2 S 2.05-2.06
28 S 0.1998 0.0536 0.1758  2 S 2.05
29 S 0.4431 0.2953 0.0559  2 S 2.05-2.06
30 S 0.0688 0.9554 0.5405  2 S 2.05-2.06
31 S 0.4747 0.3300 0.4049  2 S 2.05-2.06
32 S 0.6830 0.4617 0.6104  2 S 2.05
33 S 0.6621 0.5717 0.9861  2 S 2.05
34 S 0.8172 0.7718 0.3310  2 S 2.05
35 S 0.1621 0.4283 0.0139  2 S 2.05
36 S 0.5178 0.7422 0.6547  2 S 2.05
37 S 0.3374 0.6541 0.3860  2 S 2.05
38 S 0.0308 0.7460 0.1094  2 S 2.05
39 S 0.7768 0.1777 0.6648  2 S 2.05-2.06
40 S 0.3039 0.7591 0.8765  2 S 2.05
41 S 0.6734 0.9287 0.0053  2 S 2.05
42 S 0.1380 0.4403 0.8315  2 S 2.05-2.06
43 S 0.3482 0.4633 0.0574  2 S 2.05-2.06
44 S 0.9747 0.6700 0.5951  2 S 2.05-2.06
45 S 0.1215 0.5455 0.5662  2 S 2.05
46 S 0.2768 0.8223 0.3352  2 S 2.05-2.06
47 S 0.1830 0.5383 0.3896  2 S 2.05
48 S 0.8931 0.2071 0.9585  2 S 2.05-2.06

Output
V = 1246.9 Å³/cell



*c*
VASP calculation (SCAN) on a crystal of S relaxed with PBEsol.

a = 8.5973 Å, b = 9.4300 Å, c = 10.6934 Å
α = 116.16°, β = 98.52°, γ = 90.00°
Last column: nearest neighbours and their distance in Å.
Element x y z (fractional)
1 S 0.1602 0.8742 0.4079  2 S 2.06-2.07
2 S 0.2897 0.5102 0.4184  2 S 2.06-2.07
3 S 0.0227 0.6341 0.8962  2 S 2.06-2.08
4 S 0.0623 0.6861 0.7354  2 S 2.05-2.06
5 S 0.2603 0.8362 0.7901  2 S 2.05-2.07
6 S 0.3149 0.1585 0.0993  2 S 2.04-2.07
7 S 0.4377 0.9507 0.2646  2 S 2.05-2.06
8 S 0.6851 0.8415 0.9007  2 S 2.04-2.07
9 S 0.7603 0.9539 0.7901  2 S 2.05-2.07
10 S 0.5623 0.0493 0.7354  2 S 2.05-2.06
11 S 0.7397 0.1638 0.2099  2 S 2.05-2.07
12 S 0.3398 0.4663 0.5921  2 S 2.06-2.07
13 S 0.2103 0.0918 0.5816  2 S 2.06-2.07
14 S 0.5298 0.3267 0.5498  2 S 2.07
15 S 0.8398 0.1258 0.5921  2 S 2.06-2.07
16 S 0.9377 0.3139 0.2646  2 S 2.05-2.06
17 S 0.9702 0.7768 0.4502  2 S 2.07
18 S 0.6602 0.5337 0.4079  2 S 2.06-2.07
19 S 0.2397 0.0461 0.2099  2 S 2.05-2.07
20 S 0.7103 0.4898 0.5816  2 S 2.06-2.07
21 S 0.6846 0.4284 0.9007  2 S 2.05-2.08
22 S 0.8149 0.9408 0.0993  2 S 2.04-2.07
23 S 0.0298 0.2232 0.5498  2 S 2.07
24 S 0.1851 0.0592 0.9007  2 S 2.04-2.07
25 S 0.3154 0.5716 0.0993  2 S 2.05-2.08
26 S 0.7897 0.9082 0.4184  2 S 2.06-2.07
27 S 0.5227 0.2622 0.8962  2 S 2.06-2.08
28 S 0.8154 0.5277 0.0993  2 S 2.05-2.08
29 S 0.4702 0.6733 0.4502  2 S 2.07
30 S 0.4773 0.7378 0.1038  2 S 2.06-2.08
31 S 0.9773 0.3659 0.1038  2 S 2.06-2.08
32 S 0.1846 0.4723 0.9007  2 S 2.05-2.08

Output
V = 767.4 Å³/cell



*d*
VASP calculation (SCAN) on a crystal of S relaxed with PBEsol.

a = 4.2746 Å, b = 6.1779 Å, c = 6.1779 Å
α = 114.85°, β = 103.33°, γ = 103.33°
Last column: nearest neighbours and their distance in Å.
Element x y z (fractional)
1 S 0.7416 0.8899 0.6496  2 S 2.07
2 S 0.0920 0.3504 0.2403  2 S 2.07
3 S 0.8517 0.7597 0.1101  2 S 2.07
4 S 0.2584 0.1101 0.3504  2 S 2.07
5 S 0.9080 0.6496 0.7597  2 S 2.07
6 S 0.1483 0.2403 0.8899  2 S 2.07

Output
V = 133.8 Å³/cell



Relative stability in kJ/mol of atoms, measured from the most stable structure: *a* 4.0; *b* 0.0; *c* 3.2; *d* 5.1



*a*
VASP calculation (SCAN) on a crystal of TaSb3S relaxed with PBEsol.

a = 4.9721 Å, b = 4.9721 Å, c = 4.9721 Å
α = 90.00°, β = 90.00°, γ = 90.00°
Last column: nearest neighbours and their distance in Å.
Element x y z (fractional)
1 Sb 0.0000 0.5000 0.0000  2 S 2.49
2 Sb 0.0000 0.0000 0.5000  2 S 2.49
3 Sb 0.5000 0.0000 0.0000  2 S 2.49
4 S 0.0000 0.0000 0.0000  6 Sb 2.49
5 Ta 0.5000 0.5000 0.5000  12 Sb 3.52

Output
V = 122.9 Å³/cell



*b*
VASP calculation (SCAN) on a crystal of TaSb3S relaxed with PBEsol.

a = 5.2182 Å, b = 5.2182 Å, c = 5.2182 Å
α = 90.00°, β = 90.00°, γ = 90.00°
Last column: nearest neighbours and their distance in Å.
Element x y z (fractional)
1 Sb 0.0000 0.5000 0.0000  2 Ta 2.61
2 Sb 0.0000 0.0000 0.5000  2 Ta 2.61
3 Sb 0.5000 0.0000 0.0000  2 Ta 2.61
4 S 0.5000 0.5000 0.5000  12 Sb 3.69
5 Ta 0.0000 0.0000 0.0000  6 Sb 2.61

Output
V = 142.1 Å³/cell



Relative stability in kJ/mol of atoms, measured from the most stable structure: *a* 56.8; *b* 0.0